Entry from the Alexandria database: crystalline ZnCoAg2 at its relaxed geometry (PBE-GGA).

Output
E_form = 0.2244 eV/atom
Magnetization = 1.44 μB per cell

abc: 9.358 9.358 9.358
angles: 17.08 17.08 17.08
Fractional coordinates of all 4 atoms:
1 Zn 0.750 0.750 0.750
2 Co 0.250 0.250 0.250
3 Ag 0.502 0.502 0.502
4 Ag 0.998 0.998 0.998

=====

Entry from the Alexandria database: crystalline MgAlAg2 at its relaxed geometry (PBE-GGA).

Output
E_form = -0.1408 eV/atom
Magnetization = 0.00 μB per cell
Relative energy among the computed polymorphs = 12 kJ/mol of formula units

abc: 3.094 3.094 7.310
angles: 90.00 90.00 90.00
Fractional coordinates of all 4 atoms:
1 Ag 0.000 0.000 0.486
2 Ag 0.000 0.000 0.014
3 Mg 0.500 0.500 0.750
4 Al 0.500 0.500 0.250

=====

Entry from the Alexandria database: crystalline Nd5Sb4 at its relaxed geometry (PBE-GGA).

Output
Magnetization = 0.00 μB per cell
Formation energy without anion corrections = -8.742 eV per formula unit

abc: 6.342 7.746 7.746
angles: 80.35 65.83 65.83
Fractional coordinates of all 9 atoms:
1 Sb 0.402 0.398 0.798
2 Sb 0.800 0.798 0.602
3 Sb 0.598 0.602 0.202
4 Sb 0.200 0.202 0.398
5 Nd 0.301 0.802 0.596
6 Nd 0.699 0.198 0.404
7 Nd 0.897 0.404 0.802
8 Nd 0.103 0.596 0.198
9 Nd 0.500 0.000 0.000

=====

Entry from the Alexandria database: crystalline Na2Ga2Sn at its relaxed geometry (PBE-GGA).

Output
E_form = -0.0995 eV/atom
Magnetization = 0.00 μB per cell
Relative energy among the computed polymorphs = 7 kJ/mol of formula units

abc: 7.169 7.169 4.912
angles: 90.00 90.00 90.00
Fractional coordinates of all 10 atoms:
1 Sn 0.000 0.000 0.000
2 Sn 0.500 0.500 0.000
3 Ga 0.874 0.626 0.000
4 Ga 0.374 0.874 0.000
5 Ga 0.126 0.374 0.000
6 Ga 0.626 0.126 0.000
7 Na 0.177 0.677 0.500
8 Na 0.823 0.323 0.500
9 Na 0.323 0.177 0.500
10 Na 0.677 0.823 0.500

=====

Entry from the Alexandria database: crystalline Ca3Ge13Ir4 at its relaxed geometry (PBE-GGA).

Output
E_form = -0.4270 eV/atom
Magnetization = 0.00 μB per cell

abc: 9.111 9.111 9.111
angles: 90.00 90.00 90.00
Fractional coordinates of all 40 atoms:
1 Ge 0.500 0.798 0.643
2 Ge 0.143 0.702 0.000
3 Ge 0.500 0.500 0.500
4 Ge 0.857 0.298 0.000
5 Ge 0.298 0.000 0.857
6 Ge 0.000 0.857 0.298
7 Ge 0.702 0.000 0.143
8 Ge 0.000 0.143 0.702
9 Ge 0.643 0.500 0.202
10 Ge 0.798 0.357 0.500
11 Ge 0.202 0.357 0.500
12 Ge 0.000 0.143 0.298
13 Ge 0.857 0.702 0.000
14 Ge 0.000 0.000 0.000
15 Ge 0.702 0.000 0.857
16 Ge 0.143 0.298 0.000
17 Ge 0.202 0.643 0.500
18 Ge 0.298 0.000 0.143
19 Ge 0.357 0.500 0.202
20 Ge 0.500 0.202 0.357
21 Ge 0.000 0.857 0.702
22 Ge 0.798 0.643 0.500
23 Ge 0.643 0.500 0.798
24 Ge 0.357 0.500 0.798
25 Ge 0.500 0.202 0.643
26 Ge 0.500 0.798 0.357
27 Ir 0.250 0.750 0.250
28 Ir 0.750 0.750 0.250
29 Ir 0.250 0.750 0.750
30 Ir 0.250 0.250 0.250
31 Ir 0.750 0.250 0.750
32 Ir 0.250 0.250 0.750
33 Ir 0.750 0.250 0.250
34 Ir 0.750 0.750 0.750
35 Ca 0.000 0.500 0.750
36 Ca 0.500 0.250 0.000
37 Ca 0.750 0.000 0.500
38 Ca 0.500 0.750 0.000
39 Ca 0.250 0.000 0.500
40 Ca 0.000 0.500 0.250

=====

Entry from the Alexandria database: crystalline NaGaPC at its relaxed geometry (PBE-GGA).

Output
E_form = 0.2207 eV/atom
Magnetization = 0.00 μB per cell
Relative energy among the computed polymorphs = 13 kJ/mol of formula units

abc: 2.988 2.988 23.750
angles: 90.00 90.00 120.00
Fractional coordinates of all 12 atoms:
1 C 0.000 0.000 0.330
2 C 0.667 0.333 0.663
3 C 0.333 0.667 0.996
4 Ga 0.333 0.667 0.905
5 Ga 0.000 0.000 0.239
6 Ga 0.667 0.333 0.572
7 Na 0.333 0.667 0.134
8 Na 0.000 0.000 0.467
9 Na 0.667 0.333 0.801
10 P 0.000 0.000 0.694
11 P 0.667 0.333 0.028
12 P 0.333 0.667 0.361

=====

Entry from the Alexandria database: crystalline Ac2Pm4Y at its relaxed geometry (PBE-GGA).

Output
E_form = 0.5824 eV/atom
Magnetization = 0.80 μB per cell
Relative energy among the computed polymorphs = 339 kJ/mol of formula units

abc: 5.699 5.699 10.014
angles: 106.53 106.53 90.00
Fractional coordinates of all 7 atoms:
1 Pm 0.500 0.000 0.000
2 Pm 0.825 0.825 0.650
3 Pm 0.175 0.175 0.350
4 Pm 0.000 0.500 0.000
5 Ac 0.372 0.372 0.745
6 Ac 0.628 0.628 0.255
7 Y 0.000 0.000 0.000

=====

Entry from the Alexandria database: crystalline Ni2AsOs at its relaxed geometry (PBE-GGA).

Output
E_form = 0.3093 eV/atom
Magnetization = 0.98 μB per cell

abc: 4.638 4.638 4.638
angles: 133.46 133.46 67.94
Fractional coordinates of all 4 atoms:
1 Ni 0.500 0.500 0.000
2 Ni 0.000 0.000 0.000
3 Os 0.250 0.750 0.500
4 As 0.750 0.250 0.500

=====

Entry from the Alexandria database: crystalline KLiThBr6 at its relaxed geometry (PBE-GGA).

Output
Magnetization = 0.00 μB per cell
Formation energy without anion corrections = -15.422 eV per formula unit

abc: 7.302 7.302 14.673
angles: 90.00 90.00 120.00
Fractional coordinates of all 18 atoms:
1 Li 0.333 0.667 0.250
2 Li 0.667 0.333 0.750
3 Br 0.995 0.364 0.639
4 Br 0.369 0.364 0.861
5 Br 0.636 0.005 0.861
6 Br 0.636 0.631 0.639
7 Br 0.995 0.631 0.861
8 Br 0.364 0.995 0.139
9 Br 0.369 0.005 0.639
10 Br 0.364 0.369 0.361
11 Br 0.005 0.636 0.361
12 Br 0.631 0.995 0.361
13 Br 0.005 0.369 0.139
14 Br 0.631 0.636 0.139
15 K 0.000 0.000 0.000
16 K 0.000 0.000 0.500
17 Th 0.333 0.667 0.750
18 Th 0.667 0.333 0.250

=====

Entry from the Alexandria database: crystalline Pr8Te4P3Au at its relaxed geometry (PBE-GGA).

Output
Magnetization = 0.00 μB per cell
Formation energy without anion corrections = -22.857 eV per formula unit

abc: 8.703 8.865 8.704
angles: 119.41 120.00 90.00
Fractional coordinates of all 16 atoms:
1 P 0.000 0.500 0.500
2 P 0.500 0.500 0.000
3 P 0.500 0.500 0.500
4 Pr 0.269 0.277 0.023
5 Pr 0.754 0.277 0.023
6 Pr 0.246 0.723 0.492
7 Pr 0.731 0.723 0.977
8 Pr 0.263 0.287 0.525
9 Pr 0.737 0.713 0.475
10 Pr 0.246 0.723 0.977
11 Pr 0.754 0.277 0.508
12 Te 0.000 0.000 0.000
13 Te 0.500 0.000 0.500
14 Te 0.000 0.000 0.500
15 Te 0.500 0.000 0.000
16 Au 0.000 0.500 0.000

=====

Entry from the Alexandria database: crystalline RbHoAgSe3 at its relaxed geometry (PBE-GGA).

Output
Magnetization = 0.00 μB per cell
Formation energy without anion corrections = -6.707 eV per formula unit

abc: 4.132 8.254 10.743
angles: 90.00 90.00 104.50
Fractional coordinates of all 12 atoms:
1 Ag 0.533 0.067 0.250
2 Ag 0.467 0.933 0.750
3 Se 0.622 0.244 0.047
4 Se 0.929 0.858 0.250
5 Se 0.622 0.244 0.453
6 Se 0.378 0.756 0.547
7 Se 0.071 0.142 0.750
8 Se 0.378 0.756 0.953
9 Ho 0.000 0.000 0.500
10 Ho 0.000 0.000 0.000
11 Rb 0.249 0.497 0.250
12 Rb 0.751 0.503 0.750